This record from Alexandria via LeMat-Bulk describes crystalline BaZn2Rh2 at its relaxed geometry. The functional is PBE.

- Offset from the most stable computed form: 2.82 kcal/mol of atoms
- DFT formation energy: -179 meV per atom
- Total magnetization: 0.000 μB per atom
- Crystal system: tetragonal

Cell and atoms, written as CIF:
```
data_BaZn2Rh2
_chemical_formula_sum 'Ba2 Zn4 Rh4'
_space_group_name_H-M_alt 'P 4/m b m'
_space_group_IT_number 127
_space_group_name_Hall '-P 4 2ab'
_cell_length_a 7.731
_cell_length_b 7.731
_cell_length_c 3.082
_cell_angle_alpha 90.00
_cell_angle_beta 90.00
_cell_angle_gamma 90.00
loop_
_atom_site_label
_atom_site_type_symbol
_atom_site_fract_x
_atom_site_fract_y
_atom_site_fract_z
Ba1 Ba 0.000 0.000 0.000
Zn1 Zn 0.140 0.360 0.500
Rh1 Rh 0.144 0.644 0.000
```

***

This record from Alexandria via LeMat-Bulk describes crystalline ZrRh2Se at its relaxed geometry. The functional is PBE.

- Total magnetization: 0.000 μB per atom
- Crystal system: orthorhombic
- Final energy: -28.76 eV per cell

Cell and atoms, written as CIF:
```
data_ZrRh2Se
_chemical_formula_sum 'Zr1 Rh2 Se1'
_space_group_name_H-M_alt 'P m m m'
_space_group_IT_number 47
_space_group_name_Hall '-P 2 2'
_cell_length_a 3.347
_cell_length_b 4.317
_cell_length_c 4.568
_cell_angle_alpha 90.00
_cell_angle_beta 90.00
_cell_angle_gamma 90.00
loop_
_atom_site_label
_atom_site_type_symbol
_atom_site_fract_x
_atom_site_fract_y
_atom_site_fract_z
Zr1 Zr 0.000 0.000 0.000
Rh1 Rh 0.000 0.500 0.500
Rh2 Rh 0.500 0.500 0.000
Se1 Se 0.500 0.000 0.500
```

***

This record from Alexandria via LeMat-Bulk describes crystalline PrY3Mg4 at its relaxed geometry. The functional is PBE.

- DFT formation energy: -111 meV per atom
- Total magnetization: 0.000 μB per atom
- Crystal system: tetragonal

Cell and atoms, written as CIF:
```
data_PrY3Mg4
_chemical_formula_sum 'Pr1 Y3 Mg4'
_space_group_name_H-M_alt 'P 4/m m m'
_space_group_IT_number 123
_space_group_name_Hall '-P 4 2'
_cell_length_a 5.409
_cell_length_b 5.409
_cell_length_c 7.673
_cell_angle_alpha 90.00
_cell_angle_beta 90.00
_cell_angle_gamma 90.00
loop_
_atom_site_label
_atom_site_type_symbol
_atom_site_fract_x
_atom_site_fract_y
_atom_site_fract_z
Pr1 Pr 0.000 0.000 0.000
Y1 Y 0.000 0.000 0.500
Y2 Y 0.500 0.500 0.000
Y3 Y 0.500 0.500 0.500
Mg1 Mg 0.000 0.500 0.255
```

***

This record from Alexandria via LeMat-Bulk describes crystalline SnMoH at its relaxed geometry. The functional is PBE.

- Offset from the most stable computed form: 0.00 kcal/mol of atoms
- Total magnetization: 0.000 μB per atom
- Crystal system: trigonal

Cell and atoms, written as CIF:
```
data_SnMoH
_chemical_formula_sum 'Sn1 Mo1 H1'
_space_group_name_H-M_alt 'P 3 m 1'
_space_group_IT_number 156
_space_group_name_Hall 'P 3 -2"'
_cell_length_a 3.3857
_cell_length_b 3.3857
_cell_length_c 4.0981
_cell_angle_alpha 90.00
_cell_angle_beta 90.00
_cell_angle_gamma 120.00
loop_
_atom_site_label
_atom_site_type_symbol
_atom_site_fract_x
_atom_site_fract_y
_atom_site_fract_z
Sn1 Sn 0.0000 0.0000 0.0000
Mo1 Mo 0.3333 0.6667 0.5001
H1 H 0.6667 0.3333 0.4981
```

***

This record from Alexandria via LeMat-Bulk describes crystalline VPb2Se at its relaxed geometry. The functional is PBE.

- Total magnetization: 0.904 μB per atom
- Crystal system: tetragonal
- Final energy: -73.36 eV per cell

Cell and atoms, written as CIF:
```
data_VPb2Se
_chemical_formula_sum 'V4 Pb8 Se4'
_space_group_name_H-M_alt 'I -4 2 d'
_space_group_IT_number 122
_space_group_name_Hall 'I -4 2bw'
_cell_length_a 8.249
_cell_length_b 8.249
_cell_length_c 6.171
_cell_angle_alpha 90.00
_cell_angle_beta 90.00
_cell_angle_gamma 90.00
loop_
_atom_site_label
_atom_site_type_symbol
_atom_site_fract_x
_atom_site_fract_y
_atom_site_fract_z
V1 V 0.000 0.000 0.000
Pb1 Pb 0.239 0.250 0.125
Se1 Se 0.000 0.000 0.500
```

***

This record from Alexandria via LeMat-Bulk describes crystalline LaPm2Dy2 at its relaxed geometry. The functional is PBE.

- DFT formation energy: 124 meV per atom
- Total magnetization: 0.000 μB per atom
- Crystal system: monoclinic

Cell and atoms, written as CIF:
```
data_LaPm2Dy2
_chemical_formula_sum 'La4 Pm8 Dy8'
_space_group_name_H-M_alt 'C 1 2/c 1'
_space_group_IT_number 15
_space_group_name_Hall '-C 2yc'
_cell_length_a 9.263
_cell_length_b 8.741
_cell_length_c 9.518
_cell_angle_alpha 90.00
_cell_angle_beta 117.82
_cell_angle_gamma 90.00
loop_
_atom_site_label
_atom_site_type_symbol
_atom_site_fract_x
_atom_site_fract_y
_atom_site_fract_z
La1 La 0.000 0.075 0.250
Pm1 Pm 0.205 0.427 0.338
Dy1 Dy 0.040 0.295 0.952
```

***

This record from Alexandria via LeMat-Bulk describes crystalline HfCd3Sn at its relaxed geometry. The functional is PBE.

- Offset from the most stable computed form: 0.00 kcal/mol of atoms
- DFT formation energy: 886 meV per atom
- Total magnetization: 0.000 μB per atom
- Crystal system: cubic

Cell and atoms, written as CIF:
```
data_HfCd3Sn
_chemical_formula_sum 'Hf1 Cd3 Sn1'
_space_group_name_H-M_alt 'P m -3 m'
_space_group_IT_number 221
_space_group_name_Hall '-P 4 2 3'
_cell_length_a 5.525
_cell_length_b 5.525
_cell_length_c 5.525
_cell_angle_alpha 90.00
_cell_angle_beta 90.00
_cell_angle_gamma 90.00
loop_
_atom_site_label
_atom_site_type_symbol
_atom_site_fract_x
_atom_site_fract_y
_atom_site_fract_z
Hf1 Hf 0.000 0.000 0.000
Cd1 Cd 0.000 0.000 0.500
Sn1 Sn 0.500 0.500 0.500
```

***

This record from Alexandria via LeMat-Bulk describes crystalline LiCd2Bi2 at its relaxed geometry. The functional is PBE.

- Offset from the most stable computed form: 1.26 kcal/mol of atoms
- DFT formation energy: -36 meV per atom
- Total magnetization: 0.000 μB per atom
- Crystal system: tetragonal

Cell and atoms, written as CIF:
```
data_LiCd2Bi2
_chemical_formula_sum 'Li2 Cd4 Bi4'
_space_group_name_H-M_alt 'I 4/m m m'
_space_group_IT_number 139
_space_group_name_Hall '-I 4 2'
_cell_length_a 4.370
_cell_length_b 4.370
_cell_length_c 15.363
_cell_angle_alpha 90.00
_cell_angle_beta 90.00
_cell_angle_gamma 90.00
loop_
_atom_site_label
_atom_site_type_symbol
_atom_site_fract_x
_atom_site_fract_y
_atom_site_fract_z
Li1 Li 0.000 0.000 0.000
Cd1 Cd 0.000 0.500 0.250
Bi1 Bi 0.000 0.000 0.391
```